A relaxed structure of TlCoO3, computed with PBE+U.

Structure (POSCAR):
```
TlCoO3
1.0
2.659 1.535 4.218
-2.659 1.535 4.218
0.000 -3.071 4.218
Tl Co O
2 2 6
direct
0.250 0.250 0.250
0.750 0.750 0.750
0.000 0.000 0.000
0.500 0.500 0.500
0.158 0.750 0.342
0.250 0.658 0.842
0.342 0.158 0.750
0.658 0.842 0.250
0.750 0.342 0.158
0.842 0.250 0.658
```

Summary:
E_tot, eV/atom: -5.14
SG: R-3c